DFT (PBE) results for crystalline RbPuAg2Se4 at its relaxed geometry.

* electronic total energy: -4.91 eV per atom
* theoretical density: 6209 kg/m³
* total magnetic moment: 3.82 μB per formula unit

Unit cell a=6.9824 b=6.7388 c=6.7388 alpha=69.12 beta=58.80 gamma=58.80
With the nearest neighbours (Å) after each atom.
Sites, in units of the cell vectors:
Se (0.9013, 0.5285, 0.0953)  2 Ag 2.60-2.85, 1 Pu 2.76
Rb (0.0000, 0.0000, 0.0000)  8 Se 3.37-3.49
Pu (0.5000, 0.5000, 0.5000)  4 Se 2.76
Se (0.0987, 0.9047, 0.4715)  2 Ag 2.60-2.85, 1 Pu 2.76
Ag (0.8144, 0.6856, 0.6856)  4 Se 2.60-2.85
Ag (0.1856, 0.3144, 0.3144)  4 Se 2.60-2.85
Se (0.4749, 0.0953, 0.5285)  2 Ag 2.60-2.85, 1 Pu 2.76
Se (0.5251, 0.4715, 0.9047)  2 Ag 2.60-2.85, 1 Pu 2.76

DFT (PBE) results for crystalline RbPu4Ag3Se12 at its relaxed geometry.

* electronic total energy: -6.16 eV per atom
* theoretical density: 6877 kg/m³
* total magnetic moment: 15.96 μB per formula unit

Unit cell a=9.0110 b=9.0110 c=9.0110 alpha=109.47 beta=109.47 gamma=109.47
With the nearest neighbours (Å) after each atom.
Sites, in units of the cell vectors:
Rb (0.0000, 0.0000, 0.0000)  12 Se 3.72
Se (0.8582, 0.6866, 0.1716)  1 Ag 2.64, 2 Pu 2.80
Ag (0.5000, 0.5000, 0.0000)  4 Se 2.64
Ag (0.0000, 0.5000, 0.5000)  4 Se 2.64
Se (0.8284, 0.5150, 0.6866)  1 Ag 2.64, 2 Pu 2.80
Se (0.5150, 0.6866, 0.8284)  1 Ag 2.64, 2 Pu 2.80
Se (0.1716, 0.4850, 0.3134)  1 Ag 2.64, 2 Pu 2.80
Se (0.3134, 0.1716, 0.4850)  1 Ag 2.64, 2 Pu 2.80
Pu (0.5000, 0.5000, 0.5000)  6 Se 2.80
Ag (0.5000, 0.0000, 0.5000)  4 Se 2.64
Pu (0.5000, 0.0000, 0.0000)  6 Se 2.80
Se (0.6866, 0.1716, 0.8582)  1 Ag 2.64, 2 Pu 2.80
Se (0.1716, 0.8582, 0.6866)  1 Ag 2.64, 2 Pu 2.80
Se (0.3134, 0.8284, 0.1418)  1 Ag 2.64, 2 Pu 2.80
Se (0.6866, 0.8284, 0.5150)  1 Ag 2.64, 2 Pu 2.80
Pu (0.0000, 0.0000, 0.5000)  6 Se 2.80
Se (0.1418, 0.3134, 0.8284)  1 Ag 2.64, 2 Pu 2.80
Se (0.4850, 0.3134, 0.1716)  1 Ag 2.64, 2 Pu 2.80
Se (0.8284, 0.1418, 0.3134)  1 Ag 2.64, 2 Pu 2.80
Pu (0.0000, 0.5000, 0.0000)  6 Se 2.80

Among the records above, which one has the lowest theoretical density?
RbPuAg2Se4

What is the total magnetic moment in the first record?
3.82 μB per formula unit